Computed, not measured: SrCaMnO3 after structural relaxation at the PBE+U level of DFT.

Results
electronic total energy	-0.487	Ry per atom
ρ	3.4	g/cm3
magnetization	0.833	μB per atom

a = 6.1648 Å, b = 6.1648 Å, c = 11.1628 Å
α = 90.00°, β = 90.00°, γ = 148.41°
Fractional coordinates of all 12 atoms:
Sr 0.1921 0.8079 0.7500
Sr 0.8079 0.1921 0.2500
Ca 0.0000 0.0000 0.0000
Ca 0.0000 0.0000 0.5000
Mn 0.4587 0.5413 0.7500
Mn 0.5413 0.4587 0.2500
O 0.1436 0.8564 0.2500
O 0.4205 0.5795 0.1159
O 0.4205 0.5795 0.3841
O 0.5795 0.4205 0.6159
O 0.5795 0.4205 0.8841
O 0.8564 0.1436 0.7500